DyPuCuAu | PBE-GGA | optimized geometry

Cell and atoms, written as extended XYZ:
```
4
Lattice="0.000 3.567 3.567 3.567 0.000 3.567 3.567 3.567 0.000" Properties=species:S:1:pos:R:3 pbc="T T T"
Dy 0.000 0.000 0.000
Pu 3.567 3.567 3.567
Cu 5.351 5.351 5.351
Au 1.784 1.784 1.784
```

Computed properties:
ΔH_f (0 K) ... -29.11 kJ per mole of atoms
Total energy ... -27.51 eV for the cell shown
ρ ... 12.2 g/cm³